Compound: SrCaRu2
Source: the Alexandria database
Functional: PBE
Structure: relaxed

Summary:
N(E_F) = 0.935 states/eV/atom
ΔH_f (0 K) = 0.331 eV/atom
Polymorph energy (0 for the lowest one) = 0.0263 eV per atom
Electronic total energy = -5.23 eV/atom

Unit cell a=10.464 b=4.186 c=6.613 alpha=90.00 beta=124.05 gamma=90.00
Space group C2/m (No. 12)
One atom of each set of equivalent atoms:
Sr (0.000, 0.000, 0.000) x2
Ca (0.000, 0.500, 0.500) x2
Ru (0.247, 0.000, 0.579) x4